# 1
Density functional theory data (GGA-PBEsol) for a relaxed structure of TaTc2P.

**DFT formation energy**: -44 meV per atom
**Crystal system**: trigonal

Geometry as CIF:
```
data_TaTc2P
_symmetry_space_group_name_H-M 'R 3 m'
_symmetry_Int_Tables_number 160
_symmetry_space_group_name_Hall 'R 3 -2"'
_cell_length_a 2.8290
_cell_length_b 2.8290
_cell_length_c 25.0506
_cell_angle_alpha 90.00
_cell_angle_beta 90.00
_cell_angle_gamma 120.00
loop_
_atom_site_label
_atom_site_fract_x
_atom_site_fract_y
_atom_site_fract_z
Ta1 0.0000 0.0000 0.0000
Tc1 0.0000 0.0000 0.2403
Tc2 0.0000 0.0000 0.4901
P1 0.0000 0.0000 0.7506
```



# 2
Density functional theory data (GGA-PBEsol) for a relaxed structure of HfRe2P2.

**DFT formation energy**: -531 meV per atom
**Crystal system**: tetragonal

Geometry as CIF:
```
data_HfRe2P2
_symmetry_space_group_name_H-M 'I 4/m m m'
_symmetry_Int_Tables_number 139
_symmetry_space_group_name_Hall '-I 4 2'
_cell_length_a 4.136
_cell_length_b 4.136
_cell_length_c 8.831
_cell_angle_alpha 90.00
_cell_angle_beta 90.00
_cell_angle_gamma 90.00
loop_
_atom_site_label
_atom_site_fract_x
_atom_site_fract_y
_atom_site_fract_z
Hf1 0.000 0.000 0.000
Re1 0.000 0.500 0.250
P1 0.000 0.000 0.375
```



# 3
Density functional theory data (GGA-PBEsol) for a relaxed structure of LiMg2Ta.

**DFT formation energy**: 333 meV per atom
**Crystal system**: monoclinic
**Offset from the most stable computed form**: 0 meV per atom

Geometry as CIF:
```
data_LiMg2Ta
_symmetry_space_group_name_H-M 'P 1 2/m 1'
_symmetry_Int_Tables_number 10
_cell_length_a 2.783
_cell_length_b 4.378
_cell_length_c 6.159
_cell_angle_alpha 90.00
_cell_angle_beta 95.33
_cell_angle_gamma 90.00
loop_
_symmetry_equiv_pos_as_xyz
'x,y,z'
'-x,-y,-z'
'-x,y,-z'
'x,-y,z'
loop_
_atom_site_label
_atom_site_fract_x
_atom_site_fract_y
_atom_site_fract_z
Li1 0.000 0.000 0.000
Mg1 0.457 0.500 0.250
Ta1 0.000 0.000 0.500
```



# 4
Density functional theory data (GGA-PBEsol) for a relaxed structure of Ca2CuSi.

**Crystal system**: orthorhombic
**E_form (uncorrected)**: -219 meV per atom

Geometry as CIF:
```
data_Ca2CuSi
_symmetry_space_group_name_H-M 'I m m 2'
_symmetry_Int_Tables_number 44
_cell_length_a 3.552
_cell_length_b 4.772
_cell_length_c 10.226
_cell_angle_alpha 90.00
_cell_angle_beta 90.00
_cell_angle_gamma 90.00
loop_
_symmetry_equiv_pos_as_xyz
'x,y,z'
'-x,-y,z'
'-x,y,z'
'x,-y,z'
'x+1/2,y+1/2,z+1/2'
'-x+1/2,-y+1/2,z+1/2'
'-x+1/2,y+1/2,z+1/2'
'x+1/2,-y+1/2,z+1/2'
loop_
_atom_site_label
_atom_site_fract_x
_atom_site_fract_y
_atom_site_fract_z
Ca1 0.000 0.000 0.000
Ca2 0.000 0.500 0.204
Cu1 0.000 0.500 0.776
Si1 0.000 0.000 0.426
```



# 5
Density functional theory data (GGA-PBEsol) for a relaxed structure of MgP2ICl.

**Crystal system**: tetragonal
**E_form (uncorrected)**: 357 meV per atom

Geometry as CIF:
```
data_MgP2ICl
_symmetry_space_group_name_H-M 'P 4/m m m'
_symmetry_Int_Tables_number 123
_symmetry_space_group_name_Hall '-P 4 2'
_cell_length_a 4.992
_cell_length_b 4.992
_cell_length_c 4.590
_cell_angle_alpha 90.00
_cell_angle_beta 90.00
_cell_angle_gamma 90.00
loop_
_atom_site_label
_atom_site_fract_x
_atom_site_fract_y
_atom_site_fract_z
Mg1 0.000 0.000 0.000
P1 0.000 0.500 0.000
I1 0.500 0.500 0.500
Cl1 0.000 0.000 0.500
```



# 6
Density functional theory data (GGA-PBEsol) for a relaxed structure of MgMo2Os.

**DFT formation energy**: 323 meV per atom
**Crystal system**: tetragonal

Geometry as CIF:
```
data_MgMo2Os
_symmetry_space_group_name_H-M 'P 4 m m'
_symmetry_Int_Tables_number 99
_cell_length_a 3.109
_cell_length_b 3.109
_cell_length_c 6.426
_cell_angle_alpha 90.00
_cell_angle_beta 90.00
_cell_angle_gamma 90.00
loop_
_symmetry_equiv_pos_as_xyz
'x,y,z'
'-y,x,z'
'-x,-y,z'
'y,-x,z'
'-x,y,z'
'y,x,z'
'x,-y,z'
'-y,-x,z'
loop_
_atom_site_label
_atom_site_fract_x
_atom_site_fract_y
_atom_site_fract_z
Mg1 0.000 0.000 0.000
Mo1 0.000 0.000 0.512
Mo2 0.500 0.500 0.278
Os1 0.500 0.500 0.740
```